Record 1
# Dy2CdH | Alexandria via LeMat-Bulk | PBE | relaxed
# - E_tot (eV/cell) = -43.41
data_Dy2CdH
_space_group_name_H-M_alt 'R -3 m'
_space_group_IT_number 166
_space_group_name_Hall '-R 3 2"'
_cell_length_a 3.5900
_cell_length_b 3.5900
_cell_length_c 23.3376
_cell_angle_alpha 90.00
_cell_angle_beta 90.00
_cell_angle_gamma 120.00
loop_
_atom_site_label
_atom_site_fract_x
_atom_site_fract_y
_atom_site_fract_z
Dy1 0.0000 0.0000 0.2250
Cd1 0.0000 0.0000 0.0000
H1 0.0000 0.0000 0.5000

Record 2
# Ac6Tl3Hg | Alexandria via LeMat-Bulk | PBE | relaxed
# - ΔE_f (eV per atom) = -0.194
# - energy relative to the lowest polymorph listed for this composition (kJ/mol of formula units) = 73.0
data_Ac6Tl3Hg
_space_group_name_H-M_alt 'P 1 21/c 1'
_space_group_IT_number 14
_cell_length_a 8.522
_cell_length_b 8.962
_cell_length_c 13.466
_cell_angle_alpha 90.00
_cell_angle_beta 129.19
_cell_angle_gamma 90.00
loop_
_space_group_symop_operation_xyz
'x,y,z'
'-x,-y,-z'
'-x,y+1/2,-z+1/2'
'x,-y+1/2,z+1/2'
loop_
_atom_site_label
_atom_site_fract_x
_atom_site_fract_y
_atom_site_fract_z
Ac1 0.016 0.090 0.252
Ac2 0.224 0.664 0.064
Ac3 0.413 0.169 0.065
Tl1 0.000 0.000 0.000
Tl2 0.309 0.148 0.749
Hg1 0.500 0.000 0.500

| no. | M_tot (μB per cell) |
| --- | --- |
| 1 | 0.0 |
| 2 | 0.0 |